Density functional theory data (PBEsol) for a relaxed CdP2Rh crystal.

Geometry as POSCAR:
```
CdP2Rh
1.0
4.0342 -1.5188 0.0000
4.0342 1.5188 0.0000
-1.4421 0.0000 5.7703
Cd P Rh
1 2 1
Direct
0.0000 0.0000 0.0000
0.6699 0.6699 0.5864
0.7700 0.7700 0.2747
0.3874 0.3874 0.6003
```

Summary:
E_tot (eV for the cell shown): -21.59
Size of the total moment (μB per cell): 0.00
DOS(E_F) (states/eV/atom): 0.36



Density functional theory data (PBEsol) for a relaxed CdP2Rh crystal.

Geometry as POSCAR:
```
CdP2Rh
1.0
0.0000 3.1384 3.1384
3.1384 0.0000 3.1384
3.1384 3.1384 0.0000
Cd P Rh
1 2 1
Direct
0.0000 0.0000 0.0000
0.5000 0.5000 0.5000
0.7500 0.7500 0.7500
0.2500 0.2500 0.2500
```

Summary:
E_tot (eV for the cell shown): -19.19
Size of the total moment (μB per cell): 0.00
DOS(E_F) (states/eV/atom): 0.76



Density functional theory data (PBEsol) for a relaxed CdPRh crystal.

Geometry as POSCAR:
```
CdPRh
1.0
3.1036 0.0000 0.0000
-1.5518 2.6878 0.0000
0.0000 0.0000 6.0018
Cd P Rh
1 1 1
Direct
0.0000 0.0000 0.0000
0.3333 0.6667 0.5979
0.6667 0.3333 0.3666
```

Summary:
E_tot (eV for the cell shown): -16.04
Size of the total moment (μB per cell): 0.00
DOS(E_F) (states/eV/atom): 0.16



Density functional theory data (PBEsol) for a relaxed CdPRhS2 crystal.

Geometry as POSCAR:
```
CdPRhS2
1.0
4.8324 0.0000 0.0000
0.0000 4.8324 0.0000
0.0000 0.0000 4.2554
Cd P Rh S
1 1 1 2
Direct
0.0000 0.0000 0.0000
0.5000 0.5000 0.0000
0.5000 0.5000 0.5000
0.0000 0.5000 0.5000
0.5000 0.0000 0.5000
```

Summary:
Uncorrected formation energy (meV per atom): 320
Size of the total moment (μB per cell): 0.00
DOS(E_F) (states/eV/atom): 0.73



Density functional theory data (PBEsol) for a relaxed Cd2PRu crystal.

Geometry as POSCAR:
```
Cd2PRu
1.0
-1.8938 1.8938 4.4831
1.8938 -1.8938 4.4831
1.8938 1.8938 -4.4831
Cd P Ru
2 1 1
Direct
0.2500 0.7500 0.5000
0.7500 0.2500 0.5000
0.0000 0.0000 0.0000
0.5000 0.5000 0.0000
```

Summary:
E_tot (eV for the cell shown): -17.07
Size of the total moment (μB per cell): 0.00
DOS(E_F) (states/eV/atom): 0.51



Density functional theory data (PBEsol) for a relaxed Cd2PRu crystal.

Geometry as POSCAR:
```
Cd2PRu
1.0
3.6239 0.0000 0.0000
0.0000 1.9786 4.9428
0.0000 -1.9786 4.9428
Cd P Ru
2 1 1
Direct
0.0000 0.0000 0.0000
0.5000 0.3125 0.3125
0.0000 0.7238 0.7238
0.5000 0.5959 0.5959
```

Summary:
E_tot (eV for the cell shown): -18.31
Size of the total moment (μB per cell): 0.00
DOS(E_F) (states/eV/atom): 0.51



Density functional theory data (PBEsol) for a relaxed CdPS3 crystal.

Geometry as POSCAR:
```
CdPS3
1.0
3.0875 1.7826 6.6040
-3.0875 1.7826 6.6040
0.0000 -3.5651 6.6040
Cd P S
2 2 6
Direct
0.1707 0.1707 0.1707
0.8293 0.8293 0.8293
0.4435 0.4435 0.4435
0.5565 0.5565 0.5565
0.1035 0.4053 0.7352
0.2648 0.8965 0.5947
0.4053 0.7352 0.1035
0.5947 0.2648 0.8965
0.7352 0.1035 0.4053
0.8965 0.5947 0.2648
```

Summary:
Uncorrected formation energy (meV per atom): -419
Size of the total moment (μB per cell): 0.00
DOS(E_F) (states/eV/atom): 0.00



Density functional theory data (PBEsol) for a relaxed CdPS3 crystal.

Geometry as POSCAR:
```
CdPS3
1.0
3.0879 -5.3464 0.0000
3.0879 5.3464 0.0000
-2.0050 0.0000 6.6602
Cd P S
2 2 6
Direct
0.1671 0.8329 0.0000
0.8329 0.1671 0.0000
0.4454 0.4454 0.8317
0.5546 0.5546 0.1683
0.1019 0.4178 0.7455
0.2658 0.2658 0.2528
0.4178 0.1019 0.7455
0.5822 0.8981 0.2545
0.7342 0.7342 0.7472
0.8981 0.5822 0.2545
```

Summary:
Uncorrected formation energy (meV per atom): -420
Size of the total moment (μB per cell): 0.00
DOS(E_F) (states/eV/atom): 0.00



Density functional theory data (PBEsol) for a relaxed CdPS3 crystal.

Geometry as POSCAR:
```
CdPS3
1.0
4.8102 0.0000 0.0000
0.0000 4.8102 0.0000
0.0000 0.0000 4.8102
Cd P S
1 1 3
Direct
0.0000 0.0000 0.0000
0.5000 0.5000 0.5000
0.0000 0.0000 0.5000
0.0000 0.5000 0.0000
0.5000 0.0000 0.0000
```

Summary:
Uncorrected formation energy (meV per atom): 1141
Size of the total moment (μB per cell): 0.01
DOS(E_F) (states/eV/atom): 1.11



Density functional theory data (PBEsol) for a relaxed CdP2SeS crystal.

Geometry as POSCAR:
```
CdP2SeS
1.0
4.9168 0.0000 0.0000
0.0000 4.9168 0.0000
0.0000 0.0000 4.7119
Cd P Se S
1 2 1 1
Direct
0.0000 0.0000 0.0000
0.0000 0.5000 0.0000
0.5000 0.0000 0.0000
0.5000 0.5000 0.5000
0.0000 0.0000 0.5000
```

Summary:
Uncorrected formation energy (meV per atom): 1249
Size of the total moment (μB per cell): 0.01
DOS(E_F) (states/eV/atom): 1.14



Density functional theory data (PBEsol) for a relaxed CdSiPS2 crystal.

Geometry as POSCAR:
```
CdSiPS2
1.0
4.8589 0.0000 0.0000
0.0000 4.8589 0.0000
0.0000 0.0000 4.8211
Cd Si P S
1 1 1 2
Direct
0.0000 0.0000 0.0000
0.5000 0.5000 0.5000
0.0000 0.0000 0.5000
0.0000 0.5000 0.0000
0.5000 0.0000 0.0000
```

Summary:
Uncorrected formation energy (meV per atom): 1089
Size of the total moment (μB per cell): 0.00
DOS(E_F) (states/eV/atom): 0.92



Density functional theory data (PBEsol) for a relaxed CdSiP2S crystal.

Geometry as POSCAR:
```
CdSiP2S
1.0
4.8285 0.0000 0.0000
0.0000 4.8285 0.0000
0.0000 0.0000 4.8829
Cd Si P S
1 1 2 1
Direct
0.0000 0.0000 0.0000
0.5000 0.5000 0.5000
0.0000 0.5000 0.0000
0.5000 0.0000 0.0000
0.0000 0.0000 0.5000
```

Summary:
Uncorrected formation energy (meV per atom): 1314
Size of the total moment (μB per cell): 0.01
DOS(E_F) (states/eV/atom): 1.03



Density functional theory data (PBEsol) for a relaxed CdSnPS2 crystal.

Geometry as POSCAR:
```
CdSnPS2
1.0
4.9253 0.0000 0.0000
0.0000 4.9253 0.0000
0.0000 0.0000 4.8386
Cd Sn P S
1 1 1 2
Direct
0.0000 0.0000 0.0000
0.5000 0.5000 0.5000
0.0000 0.0000 0.5000
0.0000 0.5000 0.0000
0.5000 0.0000 0.0000
```

Summary:
Uncorrected formation energy (meV per atom): 599
Size of the total moment (μB per cell): 0.00
DOS(E_F) (states/eV/atom): 0.98



Density functional theory data (PBEsol) for a relaxed CdTcPS2 crystal.

Geometry as POSCAR:
```
CdTcPS2
1.0
4.8454 0.0000 0.0000
0.0000 4.8454 0.0000
0.0000 0.0000 4.8160
Cd Tc P S
1 1 1 2
Direct
0.0000 0.0000 0.0000
0.5000 0.5000 0.5000
0.0000 0.0000 0.5000
0.0000 0.5000 0.0000
0.5000 0.0000 0.0000
```

Summary:
Uncorrected formation energy (meV per atom): 1513
Size of the total moment (μB per cell): 3.50
DOS(E_F) (states/eV/atom): 0.78



Density functional theory data (PBEsol) for a relaxed TlCdP2S crystal.

Geometry as POSCAR:
```
TlCdP2S
1.0
4.9624 0.0000 0.0000
0.0000 4.9624 0.0000
0.0000 0.0000 5.0537
Tl Cd P S
1 1 2 1
Direct
0.0000 0.0000 0.0000
0.5000 0.5000 0.5000
0.0000 0.5000 0.5000
0.5000 0.0000 0.5000
0.5000 0.5000 0.0000
```

Summary:
Uncorrected formation energy (meV per atom): 867
Distance to the lowest polymorph of the same formula (eV/atom): 0.000
Size of the total moment (μB per cell): 1.20
DOS(E_F) (states/eV/atom): 0.98



Density functional theory data (PBEsol) for a relaxed CdSb2P crystal.

Geometry as POSCAR:
```
CdSb2P
1.0
1.8067 1.0431 8.5688
-1.8067 1.0431 8.5688
0.0000 -2.0861 8.5688
Cd Sb P
1 2 1
Direct
0.0000 0.0000 0.0000
0.2483 0.2483 0.2483
0.4675 0.4675 0.4675
0.7395 0.7395 0.7395
```

Summary:
Uncorrected formation energy (meV per atom): 163
Distance to the lowest polymorph of the same formula (eV/atom): 0.000
Size of the total moment (μB per cell): 0.00
DOS(E_F) (states/eV/atom): 0.37



Density functional theory data (PBEsol) for a relaxed CdSbP2 crystal.

Geometry as POSCAR:
```
CdSbP2
1.0
3.1443 0.0000 0.0000
0.0000 3.1443 0.0000
0.0000 0.0000 8.6207
Cd Sb P
1 1 2
Direct
0.0000 0.0000 0.0000
0.5000 0.5000 0.7032
0.0000 0.0000 0.3100
0.5000 0.5000 0.3869
```

Summary:
Uncorrected formation energy (meV per atom): 147
Distance to the lowest polymorph of the same formula (eV/atom): 0.000
Size of the total moment (μB per cell): 0.00
DOS(E_F) (states/eV/atom): 0.41



Density functional theory data (PBEsol) for a relaxed CdSb2P crystal.

Geometry as POSCAR:
```
CdSb2P
1.0
3.4517 0.0000 0.0000
0.0000 3.4517 0.0000
0.0000 0.0000 7.5929
Cd Sb P
1 2 1
Direct
0.0000 0.0000 0.0000
0.0000 0.0000 0.4136
0.5000 0.5000 0.7379
0.5000 0.5000 0.2440
```

Summary:
Uncorrected formation energy (meV per atom): 257
Distance to the lowest polymorph of the same formula (eV/atom): 0.095
Size of the total moment (μB per cell): 0.00
DOS(E_F) (states/eV/atom): 0.56



Density functional theory data (PBEsol) for a relaxed CdSbP2 crystal.

Geometry as POSCAR:
```
CdSbP2
1.0
3.6392 0.0000 0.0000
0.0000 3.6392 0.0000
0.0000 0.0000 6.0076
Cd Sb P
1 1 2
Direct
0.0000 0.0000 0.0000
0.0000 0.0000 0.5000
0.5000 0.5000 0.1932
0.5000 0.5000 0.8068
```

Summary:
Uncorrected formation energy (meV per atom): 399
Distance to the lowest polymorph of the same formula (eV/atom): 0.252
Size of the total moment (μB per cell): 0.00
DOS(E_F) (states/eV/atom): 0.48



Density functional theory data (PBEsol) for a relaxed Cd2SbP2 crystal.

Geometry as POSCAR:
```
Cd2SbP2
1.0
-2.0268 2.0268 6.3237
2.0268 -2.0268 6.3237
2.0268 2.0268 -6.3237
Cd Sb P
2 1 2
Direct
0.2500 0.7500 0.5000
0.7500 0.2500 0.5000
0.0000 0.0000 0.0000
0.4045 0.4045 0.0000
0.5955 0.5955 0.0000
```

Summary:
Uncorrected formation energy (meV per atom): 364
Size of the total moment (μB per cell): 0.00
DOS(E_F) (states/eV/atom): 0.51